Compound: FeTe2Os
Source: Alexandria via LeMat-Bulk
Functional: PBE
Structure: relaxed

abc: 5.8511 5.8511 11.9455
angles: 90.00 90.00 90.00
Space group I-42d (No. 122)
Symmetry-distinct sites (fractional):
Fe (0.0000, 0.0000, 0.0000)
Te (0.2471, 0.2500, 0.1250)
Os (0.0000, 0.0000, 0.5000)

Results
Formation energy (no corrections)   2.3 eV/f.u.
Energy above the lowest structure with this stoichiometry   0.416 eV per atom



Compound: In8Bi2Pb
Source: Alexandria via LeMat-Bulk
Functional: PBE
Structure: relaxed

abc: 18.5785 6.3168 5.6820
angles: 90.00 98.25 90.00
Space group C2/m (No. 12)
Symmetry-distinct sites (fractional):
In (0.0856, 0.0000, 0.0222)
In (0.0874, 0.2535, 0.5375)
In (0.1781, 0.5000, 0.0711)
Bi (0.2409, 0.0000, 0.3838)
Pb (0.0000, 0.5000, 0.0000)

Results
Energy relative to the elements   0.05 eV per atom